Entry 1:
5
Lattice="-0.406 0.694 6.307 -1.423 -6.169 0.587 3.903 -0.867 0.347" Properties=species:S:1:pos:R:3 comment="Cs2HgPdO, relaxed, DFT PBE-GGA" energy_ev_per_atom=-2.93 raw_formation_energy_mev_per_atom=-499 total_magnetization_mub_per_atom=0.00 volume_a3_per_cell=162.2 n_ef_per_ev_atom=0.897 space_group="No. 123" pbc="T T T"
Cs -0.711 -3.084 0.293
Cs -0.203 0.347 3.153
O 0.000 0.000 0.000
Pd 1.952 -0.434 0.173
Hg 1.037 -3.171 3.620

=====

Entry 2:
4
Lattice="-2.211 0.222 -3.011 -3.514 -2.645 2.386 -4.487 4.503 3.626" Properties=species:S:1:pos:R:3 comment="TlFeBr2, relaxed, DFT PBE-GGA" energy_ev_per_atom=-3.78 raw_formation_energy_mev_per_atom=-234 total_magnetization_mub_per_atom=0.77 volume_a3_per_cell=128.8 n_ef_per_ev_atom=0.549 space_group="No. 38" polymorph_energy_mev_per_atom=31 pbc="T T T"
Br -4.489 3.871 3.581
Br -4.005 0.594 0.659
Fe -3.563 1.900 2.756
Tl -6.642 1.147 2.636

=====

Entry 3:
4
Lattice="3.626 0.000 0.000 0.000 3.626 0.000 0.000 0.000 7.420" Properties=species:S:1:pos:R:3 comment="Gd2TeIr, relaxed, DFT PBE-GGA" energy_ev_per_atom=-10.97 raw_formation_energy_mev_per_atom=-933 total_magnetization_mub_per_atom=3.54 volume_a3_per_cell=97.6 n_ef_per_ev_atom=0.615 space_group="No. 123" polymorph_energy_mev_per_atom=119 pbc="T T T"
Te 1.813 1.813 3.710
Gd 0.000 0.000 5.773
Gd 0.000 0.000 1.647
Ir 1.813 1.813 0.000

=====

Entry 4:
4
Lattice="0.000 3.098 3.098 3.098 0.000 3.098 3.098 3.098 0.000" Properties=species:S:1:pos:R:3 comment="CaBe2Pd, relaxed, DFT PBE-GGA" energy_ev_per_atom=-3.60 total_magnetization_mub_per_atom=0.00 volume_a3_per_cell=59.5 n_ef_per_ev_atom=0.798 formation_enthalpy_0k_ev_per_atom=0.061 space_group="No. 225" polymorph_energy_mev_per_atom=136 pbc="T T T"
Be 4.647 4.647 4.647
Be 1.549 1.549 1.549
Pd 3.098 3.098 3.098
Ca 0.000 0.000 0.000

=====

Entry 5:
4
Lattice="5.214 0.000 0.000 2.607 4.515 0.000 2.607 1.505 4.257" Properties=species:S:1:pos:R:3 comment="CaTcPb2, relaxed, DFT PBE-GGA" energy_ev_per_atom=-4.43 total_magnetization_mub_per_atom=0.41 volume_a3_per_cell=100.2 n_ef_per_ev_atom=1.343 formation_enthalpy_0k_ev_per_atom=0.518 space_group="No. 216" polymorph_energy_mev_per_atom=395 pbc="T T T"
Ca 5.214 3.010 2.129
Tc 7.821 4.515 3.193
Pb 2.607 1.505 1.064
Pb 0.000 0.000 0.000

=====

Entry 6:
6
Lattice="3.529 0.354 -0.832 -0.660 6.542 -0.023 -2.035 -0.175 7.180" Properties=species:S:1:pos:R:3 comment="HgHI, relaxed, DFT PBE-GGA" energy_ev_per_atom=-1.65 total_magnetization_mub_per_atom=0.00 volume_a3_per_cell=156.3 n_ef_per_ev_atom=0.183 space_group="No. 2" polymorph_energy_mev_per_atom=250 pbc="T T T"
H 1.265 4.181 4.238
H 0.848 0.819 1.081
Hg 2.613 0.997 0.667
Hg -0.499 4.002 4.652
I -0.167 0.732 4.669
I 2.281 4.267 0.650

=====

Entry 7:
4
Lattice="-0.131 1.552 -5.312 -2.835 -2.997 -3.691 -4.676 2.002 -2.184" Properties=species:S:1:pos:R:3 comment="EuPaBi2, relaxed, DFT PBE-GGA" energy_ev_per_atom=-7.22 total_magnetization_mub_per_atom=2.00 volume_a3_per_cell=119.9 n_ef_per_ev_atom=1.499 formation_enthalpy_0k_ev_per_atom=-0.336 space_group="No. 225" polymorph_energy_mev_per_atom=153 pbc="T T T"
Bi -5.732 0.418 -8.390
Bi -1.911 0.139 -2.797
Pa -3.821 0.279 -5.593
Eu 0.000 0.000 0.000

=====

Entry 8:
4
Lattice="-4.665 1.270 -1.457 -4.958 -0.920 0.267 0.043 3.110 3.958" Properties=species:S:1:pos:R:3 comment="AlW2Cl, relaxed, DFT PBE-GGA" energy_ev_per_atom=-7.28 raw_formation_energy_mev_per_atom=592 total_magnetization_mub_per_atom=0.00 volume_a3_per_cell=68.2 n_ef_per_ev_atom=0.491 space_group="No. 8" polymorph_energy_mev_per_atom=358 pbc="T T T"
W -0.099 2.936 3.713
W -7.214 2.600 2.078
Cl -2.336 1.199 1.126
Al -4.677 1.566 1.195

=====

Entry 9:
5
Lattice="6.589 0.000 0.000 0.000 6.589 0.000 0.000 0.000 7.002" Properties=species:S:1:pos:R:3 comment="BaSiSbI2, relaxed, DFT PBE-GGA" energy_ev_per_atom=-2.46 raw_formation_energy_mev_per_atom=452 total_magnetization_mub_per_atom=0.58 volume_a3_per_cell=303.9 n_ef_per_ev_atom=1.498 space_group="No. 123" polymorph_energy_mev_per_atom=862 pbc="T T T"
I 0.000 3.294 0.000
I 3.294 0.000 0.000
Ba 0.000 0.000 0.000
Sb 0.000 0.000 3.501
Si 3.294 3.294 3.501

=====

Entry 10:
10
Lattice="8.403 0.000 0.000 0.000 8.403 0.000 4.202 4.202 5.909" Properties=species:S:1:pos:R:3 comment="Rb2CuTeI6, relaxed, DFT PBE-GGA" energy_ev_per_atom=-2.48 raw_formation_energy_mev_per_atom=-630 total_magnetization_mub_per_atom=0.00 volume_a3_per_cell=417.2 n_ef_per_ev_atom=0.474 space_group="No. 139" pbc="T T T"
I 8.403 8.403 3.267
I 4.202 4.202 2.641
I 2.131 2.131 0.000
I 6.273 2.131 0.000
I 6.273 6.273 0.000
I 2.131 6.273 0.000
Rb 8.403 4.202 2.954
Rb 4.202 8.403 2.954
Cu 4.202 4.202 0.000
Te 0.000 0.000 0.000

=====

Entry 11:
5
Lattice="5.303 0.000 0.000 0.000 5.303 0.000 0.000 0.000 5.303" Properties=species:S:1:pos:R:3 comment="TaSb3Pd, relaxed, DFT PBE-GGA" energy_ev_per_atom=-5.25 raw_formation_energy_mev_per_atom=634 total_magnetization_mub_per_atom=0.00 volume_a3_per_cell=149.1 n_ef_per_ev_atom=0.606 space_group="No. 221" polymorph_energy_mev_per_atom=0 pbc="T T T"
Sb 2.652 0.000 0.000
Sb 0.000 2.652 0.000
Sb 0.000 0.000 2.652
Ta 0.000 0.000 0.000
Pd 2.652 2.652 2.652

=====

Entry 12:
5
Lattice="-0.637 2.993 3.758 0.785 -3.675 3.060 5.325 1.136 -0.002" Properties=species:S:1:pos:R:3 comment="TlGa2PtCl, relaxed, DFT PBE-GGA" energy_ev_per_atom=-3.81 raw_formation_energy_mev_per_atom=-549 total_magnetization_mub_per_atom=0.00 volume_a3_per_cell=127.9 n_ef_per_ev_atom=0.195 space_group="No. 123" pbc="T T T"
Tl 2.663 0.568 -0.001
Cl 2.737 0.227 3.408
Ga -0.319 1.496 1.879
Ga 0.393 -1.838 1.530
Pt 0.000 0.000 0.000